[1]
First-principles (PBE) data for a geometry-optimized GeSCl2 structure, as listed in Alexandria via LeMat-Bulk.

Values from the calculation:
Total magnetization, μB/f.u.: 2.0
Relative energy among the computed polymorphs, meV/atom: 1070

Cell: 4.9146 4.9146 4.9146 Å, 60.00 60.00 60.00°
Element x y z (fractional)
Ge  0.0000  0.0000  0.0000
S  0.5000  0.5000  0.5000
Cl  0.2500  0.2500  0.2500
Cl  0.7500  0.7500  0.7500


[2]
First-principles (PBE) data for a geometry-optimized YHf2 structure, as listed in Alexandria via LeMat-Bulk.

Values from the calculation:
Total magnetization, μB/f.u.: 0.0
ΔE_f, kJ/mol of formula units: 35
Relative energy among the computed polymorphs, meV/atom: 0

Cell: 7.8532 7.8532 7.8532 Å, 156.60 156.60 33.33°
Element x y z (fractional)
Y  0.0000  0.0000  0.0000
Hf  0.3188  0.3188  0.0000
Hf  0.6812  0.6812  0.0000


[3]
First-principles (PBE) data for a geometry-optimized Cs4LiU3O12 structure, as listed in Alexandria via LeMat-Bulk.

Values from the calculation:
Total magnetization, μB/f.u.: 0.3
VASP energy, eV/atom: -7.50

Cell: 7.7398 7.7398 7.7398 Å, 109.47 109.47 109.47°
Element x y z (fractional)
Cs  0.0000  0.0000  0.5000
Cs  0.0000  0.5000  0.0000
Cs  0.5000  0.0000  0.0000
Cs  0.5000  0.5000  0.5000
Li  0.0000  0.0000  0.0000
U  0.0000  0.5000  0.5000
U  0.5000  0.0000  0.5000
U  0.5000  0.5000  0.0000
O  0.0000  0.2858  0.2858
O  0.0000  0.7142  0.7142
O  0.2500  0.5000  0.7500
O  0.2500  0.7500  0.5000
O  0.2858  0.0000  0.2858
O  0.2858  0.2858  0.0000
O  0.5000  0.2500  0.7500
O  0.5000  0.7500  0.2500
O  0.7142  0.0000  0.7142
O  0.7142  0.7142  0.0000
O  0.7500  0.2500  0.5000
O  0.7500  0.5000  0.2500


[4]
First-principles (PBE) data for a geometry-optimized LaCeRhCl structure, as listed in Alexandria via LeMat-Bulk.

Values from the calculation:
Total magnetization, μB/f.u.: 1.0
VASP energy, eV/atom: -6.16

Cell: 8.1294 8.1294 8.1294 Å, 28.79 28.79 28.79°
Element x y z (fractional)
La  0.0000  0.0000  0.0000
Ce  0.1963  0.1963  0.1963
Rh  0.5941  0.5941  0.5941
Cl  0.7666  0.7666  0.7666


[5]
First-principles (PBE) data for a geometry-optimized Ac5Tl2Pb2 structure, as listed in Alexandria via LeMat-Bulk.

Values from the calculation:
Total magnetization, μB/f.u.: 0.0
ΔE_f, kJ/mol of formula units: -252
Relative energy among the computed polymorphs, meV/atom: 147

Cell: 11.9035 11.9035 11.9035 Å, 59.07 144.69 134.27°
Element x y z (fractional)
Ac  0.1412  0.0812  0.2224
Ac  0.1412  0.4188  0.5600
Ac  0.1630  0.0410  0.6219
Ac  0.4191  0.5410  0.3781
Ac  0.5160  0.8021  0.0367
Ac  0.5160  0.9793  0.2139
Ac  0.7654  0.3021  0.7861
Ac  0.7654  0.4793  0.9633
Ac  0.8588  0.5812  0.4400
Ac  0.8588  0.9188  0.7776
Tl  0.0048  0.6994  0.8055
Tl  0.6826  0.1826  0.5000
Tl  0.6826  0.6826  0.0000
Tl  0.8939  0.1994  0.1945
Pb  0.2363  0.4060  0.9642
Pb  0.2363  0.7721  0.3303
Pb  0.4418  0.2721  0.0358
Pb  0.4418  0.9060  0.6697


[6]
First-principles (PBE) data for a geometry-optimized Mg4InCu structure, as listed in Alexandria via LeMat-Bulk.

Values from the calculation:
Total magnetization, μB/f.u.: 0.0
ΔE_f, kJ/mol of formula units: 22
Relative energy among the computed polymorphs, meV/atom: 118

Cell: 4.4484 4.4484 7.1727 Å, 90.00 90.00 90.00°
Element x y z (fractional)
Mg  0.0000  0.5000  0.2159
Mg  0.0000  0.5000  0.7841
Mg  0.5000  0.0000  0.2159
Mg  0.5000  0.0000  0.7841
In  0.0000  0.0000  0.5000
Cu  0.5000  0.5000  0.0000


[7]
First-principles (PBE) data for a geometry-optimized PrHCl2 structure, as listed in Alexandria via LeMat-Bulk.

Values from the calculation:
Total magnetization, μB/f.u.: 0.0
VASP energy, eV/atom: -4.73

Cell: 7.4319 7.4319 7.4319 Å, 31.05 31.05 31.05°
Element x y z (fractional)
Pr  0.0000  0.0000  0.0000
H  0.6667  0.6667  0.6667
Cl  0.2490  0.2490  0.2490
Cl  0.4176  0.4176  0.4176


[8]
First-principles (PBE) data for a geometry-optimized CsAc3Pr2Te6 structure, as listed in Alexandria via LeMat-Bulk.

Values from the calculation:
Total magnetization, μB/f.u.: 0.0
VASP energy, eV/atom: -4.87

Cell: 10.6029 10.6029 9.6685 Å, 102.68 102.68 25.54°
Element x y z (fractional)
Cs  0.0000  0.0000  0.0000
Ac  0.0000  0.0000  0.5000
Ac  0.3393  0.3393  0.1739
Ac  0.6607  0.6607  0.8261
Pr  0.3268  0.3268  0.6471
Pr  0.6732  0.6732  0.3529
Te  0.1667  0.1667  0.5818
Te  0.1760  0.1760  0.0980
Te  0.4916  0.4916  0.7284
Te  0.5084  0.5084  0.2716
Te  0.8240  0.8240  0.9020
Te  0.8333  0.8333  0.4182